Record 1
# MnInSi2

An optimized crystal structure of MnInSi2 (GGA-PBE, the Alexandria database).

Uncorrected formation energy: 431 meV/atom
V: 17.1 A^3/atom
VASP energy: -5.2577 eV/atom

abc: 4.1911 4.1911 3.8894
angles: 90.00 90.00 90.00
With the nearest neighbours (Å) after each atom.
Space group P4/mmm (No. 123)
Symmetry-distinct sites (fractional):
Mn 0.0000 0.0000 0.0000 [1 per cell]  8 Si 2.86, 4 In 2.96
In 0.5000 0.5000 0.0000 [1 per cell]  8 Si 2.86, 4 Mn 2.96
Si 0.0000 0.5000 0.5000 [2 per cell]  4 In 2.86, 4 Mn 2.86, 4 Si 2.96



Record 2
# KBeZn2

An optimized crystal structure of KBeZn2 (GGA-PBE, the Alexandria database).

V: 22.5 A^3/atom
Formation energy from the elements: 0.359 eV per atom
VASP energy: -1.4836 eV/atom

abc: 9.7021 2.9995 6.4381
angles: 90.00 106.31 90.00
With the nearest neighbours (Å) after each atom.
Space group Cm (No. 8)
Symmetry-distinct sites (fractional):
K 0.0000 0.0000 0.0000 [2 per cell]  2 K 3.00
Be 0.2025 0.0000 0.6065 [2 per cell]  4 Zn 2.29-2.30
Zn 0.0174 0.5000 0.5088 [2 per cell]  2 Be 2.29, 2 Zn 2.52
Zn 0.2996 0.5000 0.4158 [2 per cell]  2 Be 2.30, 2 Zn 2.52



Record 3
# HAuOF2

An optimized crystal structure of HAuOF2 (GGA-PBE, the Alexandria database).

Excess energy over the best structure of this formula in the dataset: 0.000 eV/atom
V: 10.7 A^3/atom
VASP energy: -3.1164 eV/atom

abc: 3.0926 3.0926 5.5820
angles: 90.00 90.00 90.00
With the nearest neighbours (Å) after each atom.
Space group P4/mmm (No. 123)
Symmetry-distinct sites (fractional):
H 0.0000 0.0000 0.0000 [1 per cell]  4 F 1.55
Au 0.5000 0.5000 0.5000 [1 per cell]  4 O 2.19
O 0.0000 0.0000 0.5000 [1 per cell]  4 Au 2.19
F 0.0000 0.5000 0.0000 [2 per cell]  2 H 1.55



Record 4
# BaNa2Hg

An optimized crystal structure of BaNa2Hg (GGA-PBE, the Alexandria database).

V: 39.4 A^3/atom
Formation energy from the elements: -0.109 eV per atom
VASP energy: -1.3248 eV/atom

abc: 4.8961 4.8961 26.2877
angles: 90.00 90.00 90.00
With the nearest neighbours (Å) after each atom.
Space group I-42d (No. 122)
Symmetry-distinct sites (fractional):
Ba 0.0000 0.0000 0.0000 [4 per cell]  4 Hg 3.46, 4 Na 3.78
Na 0.2118 0.2500 0.6250 [8 per cell]  2 Na 3.21
Hg 0.0000 0.0000 0.5000 [4 per cell]  4 Ba 3.46, 4 Na 3.66